Record 1
GGA-PBE TbCeZr2, relaxed; electronic total energy = -26.46 eV per formula unit; magnetic moment = 0.0 μB/f.u.; excess energy over the best structure of this formula in the dataset = 177 meV per atom; energy of formation from the pure elements = 300 meV per atom
1.0
3.278 0.000 0.000
1.639 2.838 0.000
1.639 0.946 11.548
Ce Zr Tb
1 2 1
direct
0.500 0.500 0.500
0.910 0.910 0.271
0.090 0.090 0.729
0.000 0.000 0.000

---

Record 2
GGA-PBE Cr2H2Rh3, relaxed; electronic total energy = -46.77 eV per formula unit; magnetic moment = 0.0 μB/f.u.
1.0
2.645 0.000 -0.571
-0.203 3.876 -0.939
0.165 -0.311 7.169
Rh H Cr
3 2 2
direct
0.309 0.809 0.618
0.000 0.000 0.000
0.691 0.191 0.382
0.554 0.554 0.108
0.446 0.446 0.892
0.876 0.376 0.751
0.124 0.624 0.249

---

Record 3
GGA-PBE GaSb2Pb2, relaxed; electronic total energy = -18.07 eV per formula unit; magnetic moment = 0.0 μB/f.u.; excess energy over the best structure of this formula in the dataset = 0 meV per atom; E_form (uncorrected) = 122.8 meV per atom
1.0
8.063 0.000 0.000
0.000 8.063 0.000
0.000 0.000 4.654
Pb Ga Sb
4 2 4
direct
0.832 0.332 0.500
0.332 0.168 0.500
0.668 0.832 0.500
0.168 0.668 0.500
0.000 0.000 0.000
0.500 0.500 0.000
0.634 0.134 0.000
0.366 0.866 0.000
0.866 0.634 0.000
0.134 0.366 0.000